Entry 1:
Entry from Alexandria via LeMat-Bulk: a relaxed TbScIn4 crystal (GGA-PBE).

a b c (Å): 5.9338 5.9338 5.9338
angles (deg): 60.00 60.00 60.00
Atoms (fractional coordinates):
Tb 0.0000 0.0000 0.0000
Sc 0.2500 0.2500 0.2500
In 0.1254 0.6249 0.6249
In 0.6249 0.1254 0.6249
In 0.6249 0.6249 0.1254
In 0.6249 0.6249 0.6249

Calculated values
Crystal system: cubic
Formation enthalpy at 0 K: -244 meV per atom

=====

Entry 2:
Entry from Alexandria via LeMat-Bulk: a relaxed Tb2Sc2In crystal (GGA-PBE).

a b c (Å): 8.4357 8.4357 3.8395
angles (deg): 90.00 90.00 90.00
Atoms (fractional coordinates):
Tb 0.1430 0.3570 0.0000
Tb 0.3570 0.8570 0.0000
Tb 0.6430 0.1430 0.0000
Tb 0.8570 0.6430 0.0000
Sc 0.1591 0.6591 0.5000
Sc 0.3409 0.1591 0.5000
Sc 0.6591 0.8409 0.5000
Sc 0.8409 0.3409 0.5000
In 0.0000 0.0000 0.0000
In 0.5000 0.5000 0.0000

Calculated values
Crystal system: tetragonal
Formation enthalpy at 0 K: 102 meV per atom

=====

Entry 3:
Entry from Alexandria via LeMat-Bulk: a relaxed TbScIn crystal (GGA-PBE).

a b c (Å): 7.0659 7.0659 7.0659
angles (deg): 151.84 151.84 40.24
Atoms (fractional coordinates):
Tb 0.0000 0.0000 0.0000
Sc 0.6828 0.6828 0.0000
In 0.3300 0.3300 0.0000

Calculated values
Crystal system: tetragonal
Formation enthalpy at 0 K: -297 meV per atom

=====

Entry 4:
Entry from Alexandria via LeMat-Bulk: a relaxed Tb2ScIn crystal (GGA-PBE).

a b c (Å): 4.7540 4.7540 4.7464
angles (deg): 90.00 90.00 90.00
Atoms (fractional coordinates):
Tb 0.0000 0.5000 0.0000
Tb 0.5000 0.0000 0.0000
Sc 0.0000 0.0000 0.5000
In 0.5000 0.5000 0.5000

Calculated values
Crystal system: tetragonal
Formation enthalpy at 0 K: -262 meV per atom

=====

Entry 5:
Entry from Alexandria via LeMat-Bulk: a relaxed Tb2Sc4In crystal (GGA-PBE).

a b c (Å): 7.1884 7.1884 5.3028
angles (deg): 90.00 90.00 131.16
Atoms (fractional coordinates):
Tb 0.1285 0.8715 0.0000
Tb 0.8715 0.1285 0.0000
Sc 0.2687 0.7313 0.5000
Sc 0.3751 0.6249 0.0000
Sc 0.6249 0.3751 0.0000
Sc 0.7313 0.2687 0.5000
In 0.5000 0.5000 0.5000

Calculated values
Crystal system: orthorhombic
Formation enthalpy at 0 K: 474 meV per atom

=====

Entry 6:
Entry from Alexandria via LeMat-Bulk: a relaxed Tb5Sc3In crystal (GGA-PBE).

a b c (Å): 7.5414 7.5414 10.6520
angles (deg): 101.14 101.14 91.48
Atoms (fractional coordinates):
Tb 0.1098 0.6170 0.3504
Tb 0.1208 0.1208 0.4237
Tb 0.1918 0.1918 0.8829
Tb 0.2490 0.7510 0.0000
Tb 0.3830 0.8902 0.6496
Tb 0.6170 0.1098 0.3504
Tb 0.7510 0.2490 0.0000
Tb 0.8082 0.8082 0.1171
Tb 0.8792 0.8792 0.5763
Tb 0.8902 0.3830 0.6496
Sc 0.0854 0.0854 0.1343
Sc 0.3581 0.3581 0.7007
Sc 0.5000 0.5000 0.0000
Sc 0.5000 0.5000 0.5000
Sc 0.6419 0.6419 0.2993
Sc 0.9146 0.9146 0.8657
In 0.3611 0.3611 0.1985
In 0.6389 0.6389 0.8015

Calculated values
Crystal system: monoclinic
Formation enthalpy at 0 K: 371 meV per atom